Computed, not measured: crystalline Dy2TmTh4 at its relaxed geometry at the PBE level of DFT.

Output
Total moment: 0.0 μB per formula unit
ΔE_f: 1.9 kcal/mol of atoms
Fermi-level density of states: 9.84 states/eV/f.u.
Space group: Cmmm (65)

Unit cell a=3.560 b=3.547 c=18.034 alpha=90.00 beta=95.66 gamma=90.00
Fractional positions:
Dy 0.208 0.500 0.415
Dy 0.792 0.500 0.585
Th 0.360 0.000 0.721
Th 0.071 0.500 0.142
Th 0.640 0.000 0.279
Th 0.929 0.500 0.858
Tm 0.500 0.000 0.000